1.
Density functional theory data (PBE) for a relaxed structure of CrReSe.

Values from the calculation:
Distance to the lowest polymorph of the same formula, eV/f.u.: 1.645
Formation energy without anion corrections, eV per atom: 0.508
DFT total energy, eV/cell: -48.07

abc: 2.972 3.969 7.357
angles: 90.00 90.00 90.00
Positions (direct):
Cr 0.000 0.000 0.000
Cr 0.500 0.500 0.500
Re 0.000 0.000 0.659
Re 0.500 0.500 0.159
Se 0.000 0.000 0.325
Se 0.500 0.500 0.825

---

2.
Density functional theory data (PBE) for a relaxed structure of CrRe3Se.

Values from the calculation:
Distance to the lowest polymorph of the same formula, eV/f.u.: 0.282
Formation energy without anion corrections, eV per atom: 1.829
DFT total energy, eV/cell: -41.31

abc: 4.485 4.485 4.485
angles: 90.00 90.00 90.00
Positions (direct):
Cr 0.000 0.000 0.000
Re 0.000 0.000 0.500
Re 0.000 0.500 0.000
Re 0.500 0.000 0.000
Se 0.500 0.500 0.500

---

3.
Density functional theory data (PBE) for a relaxed structure of CrReSe2.

Values from the calculation:
Distance to the lowest polymorph of the same formula, eV/f.u.: 0.320
Formation energy without anion corrections, eV per atom: -0.011
DFT total energy, eV/cell: -58.17

abc: 3.523 3.810 13.766
angles: 90.00 90.00 90.00
Positions (direct):
Cr 0.000 0.000 0.000
Cr 0.500 0.500 0.500
Re 0.000 0.000 0.500
Re 0.500 0.500 0.000
Se 0.000 0.500 0.372
Se 0.000 0.500 0.628
Se 0.500 0.000 0.128
Se 0.500 0.000 0.872

---

distance to the lowest polymorph of the same formula of number 1 (CrReSe)? 1.645 eV/f.u.

---

Among the records above, which one has the lowest formation energy without anion corrections? CrReSe2